## Sr2CdCl (PBE)

Data for an optimized crystal structure of Sr2CdCl.

Cell lengths 8.292, 8.292, 8.846 Å; angles 90.00, 90.00, 90.00 degrees
Space group I-42d (No. 122)
Inequivalent atoms, fractional coordinates:
Sr 0.218 0.250 0.125
Cd 0.000 0.000 0.500
Cl 0.000 0.000 0.000

Calculated values
E_tot: -2.3866 eV per atom
E_form (uncorrected): -855 meV per atom

## Sr2CdCl (PBE)

Data for an optimized crystal structure of Sr2CdCl.

Cell lengths 4.623, 4.623, 6.640 Å; angles 90.00, 90.00, 90.00 degrees
Space group P4mm (No. 99)
Inequivalent atoms, fractional coordinates:
Sr 0.000 0.000 0.000
Sr 0.500 0.500 0.498
Cd 0.500 0.500 0.998
Cl 0.000 0.000 0.497

Calculated values
E_tot: -2.4609 eV per atom
E_form (uncorrected): -930 meV per atom

## SrCd3Cl (PBE)

Data for an optimized crystal structure of SrCd3Cl.

Cell lengths 5.651, 5.651, 5.651 Å; angles 90.00, 90.00, 90.00 degrees
Space group Pm-3m (No. 221)
Inequivalent atoms, fractional coordinates:
Sr 0.000 0.000 0.000
Cd 0.000 0.500 0.500
Cl 0.500 0.500 0.500

Calculated values
E_tot: -1.2868 eV per atom
E_form (uncorrected): -32 meV per atom

## Sr2CdCl (PBE)

Data for an optimized crystal structure of Sr2CdCl.

Cell lengths 4.567, 4.567, 14.055 Å; angles 90.00, 90.00, 90.00 degrees
Space group I-4m2 (No. 119)
Inequivalent atoms, fractional coordinates:
Sr 0.000 0.000 0.000
Sr 0.000 0.500 0.250
Cd 0.000 0.500 0.750
Cl 0.000 0.000 0.500

Calculated values
E_tot: -2.2872 eV per atom
E_form (uncorrected): -756 meV per atom

## SrCd4Cl (PBE)

Data for an optimized crystal structure of SrCd4Cl.

Cell lengths 8.757, 8.757, 8.757 Å; angles 90.00, 90.00, 90.00 degrees
Space group F-43m (No. 216)
Inequivalent atoms, fractional coordinates:
Sr 0.000 0.000 0.000
Cd 0.125 0.125 0.625
Cl 0.250 0.250 0.250

Calculated values
E_tot: -1.5395 eV per atom
E_form (uncorrected): -341 meV per atom

## Sr2CdCl (PBE)

Data for an optimized crystal structure of Sr2CdCl.

Cell lengths 4.267, 7.027, 9.860 Å; angles 90.00, 90.00, 90.00 degrees
Space group Immm (No. 71)
Inequivalent atoms, fractional coordinates:
Sr 0.000 0.000 0.213
Cd 0.000 0.500 0.000
Cl 0.000 0.500 0.500

Calculated values
E_tot: -2.3610 eV per atom
E_form (uncorrected): -830 meV per atom